## BeFePRh (PBE-GGA)

Data for an optimized crystal structure of BeFePRh.

Calculated values
Crystal system = cubic
Energy of formation = -0.4221 eV/atom

Cell lengths 3.9179, 3.9179, 3.9179 Å; angles 60.00, 60.00, 60.00 degrees
Closest atoms and distances in Å follow each position.
Element x y z (fractional)
Rh 0.0000 0.0000 0.0000  4 Be 2.40, 4 P 2.40
P 0.2500 0.2500 0.2500  4 Fe 2.40, 4 Rh 2.40
Be 0.7500 0.7500 0.7500  4 Fe 2.40, 4 Rh 2.40
Fe 0.5000 0.5000 0.5000  4 Be 2.40, 4 P 2.40